Record 1
A geometry-optimized LiCa2Ag structure. Source: Alexandria, functional PBE-GGA.

Computed properties:
Total magnetization in μB per cell: 0.0
Calculated formation energy in meV/atom: 18
Symmetry: F-43m

POSCAR file:
```
LiCa2Ag
1.0
-0.4110 -5.2623 -0.5313
3.9099 -2.7467 -2.3046
3.0623 -3.2072 2.9120
Li Ag Ca
1 1 2
direct
0.7500 0.7500 0.7500
0.5000 0.5000 0.5000
0.2500 0.2500 0.2500
0.0000 0.0000 0.0000
```

***

Record 2
A geometry-optimized Li2CaAg structure. Source: Alexandria, functional PBE-GGA.

Computed properties:
Total magnetization in μB per cell: 0.0
Calculated formation energy in meV/atom: -127
Symmetry: Pmm2

POSCAR file:
```
Li2CaAg
1.0
3.5998 0.0000 0.0000
0.0000 3.6467 -0.0019
0.0000 3.6547 6.9830
Li Ca Ag
2 1 1
direct
0.5000 0.2347 0.2654
0.0000 0.9429 0.0576
0.5000 0.7765 0.7233
0.0000 0.5458 0.4537
```

***

Record 3
A geometry-optimized Li6CaAg4 structure. Source: Alexandria, functional PBE-GGA.

Computed properties:
Total magnetization in μB per cell: 0.0
Calculated formation energy in meV/atom: -160
Symmetry: P-6m2

POSCAR file:
```
Li6CaAg4
1.0
-1.4428 2.3418 3.2652
-7.0421 -0.4052 -2.8212
2.4493 -5.2873 4.8744
Li Ag Ca
6 4 1
direct
0.5000 0.2040 0.4080
0.0000 0.5334 0.0668
0.5000 0.5920 0.7960
0.0000 0.9332 0.4666
0.5000 0.2040 0.7960
0.0000 0.5334 0.4666
0.5000 0.7960 0.5920
0.5000 0.4080 0.2040
0.0000 0.3333 0.6667
0.5000 0.7960 0.2040
0.0000 0.0000 0.0000
```

***

Record 4
A geometry-optimized Li2Ca3Ag structure. Source: Alexandria, functional PBE-GGA.

Computed properties:
Total magnetization in μB per cell: 0.0
Calculated formation energy in meV/atom: -101
Symmetry: Cmmm

POSCAR file:
```
Li2Ca3Ag
1.0
5.4046 0.0000 0.0219
2.7023 8.1316 0.0109
-0.0319 0.0000 7.8570
Ca Ag Li
6 2 4
direct
0.5000 0.0000 0.2403
0.5000 0.0000 0.7597
0.1714 0.6573 0.7675
0.1713 0.6573 0.2325
0.8286 0.3427 0.2325
0.8287 0.3427 0.7675
0.3422 0.3157 0.0000
0.6578 0.6843 0.0000
0.6657 0.6687 0.5000
0.3343 0.3313 0.5000
0.0000 0.0000 0.0000
0.0000 0.0000 0.5000
```

***

Record 5
A geometry-optimized Li2CaAg structure. Source: Alexandria, functional PBE-GGA.

Computed properties:
Total magnetization in μB per cell: 0.0
Calculated formation energy in meV/atom: -85
Symmetry: P4/mmm

POSCAR file:
```
Li2CaAg
1.0
-4.1345 -0.9310 -1.0003
0.3643 -3.8197 2.0495
-1.4928 2.1131 4.2037
Li Ca Ag
2 1 1
direct
0.5000 0.5000 0.0000
0.0000 0.0000 0.0000
0.0000 0.5000 0.5000
0.5000 0.0000 0.5000
```

***

Record 6
A geometry-optimized LiCaAg structure. Source: Alexandria, functional PBE-GGA.

Computed properties:
Total magnetization in μB per cell: 0.0
Calculated formation energy in meV/atom: 210
Symmetry: F-43m

POSCAR file:
```
LiCaAg
1.0
4.9746 0.0000 0.0000
2.4873 4.3082 0.0000
2.4873 1.4361 4.0618
Li Ag Ca
1 1 1
direct
0.0000 0.0000 0.0000
0.5000 0.5000 0.5000
0.7500 0.7500 0.7500
```

***

Record 7
A geometry-optimized LiCaAg structure. Source: Alexandria, functional PBE-GGA.

Computed properties:
Total magnetization in μB per cell: 0.0
Calculated formation energy in meV/atom: -220
Symmetry: C2/m

POSCAR file:
```
LiCaAg
1.0
-3.8699 -0.6040 2.0148
0.8452 -3.7204 5.3225
-0.6196 3.6030 4.7046
Ca Li Ag
2 2 2
direct
0.4357 0.3152 0.8134
0.5643 0.6848 0.1866
0.1864 0.9182 0.7090
0.8136 0.0818 0.2910
0.1521 0.3133 0.3825
0.8479 0.6867 0.6175
```

***

Record 8
A geometry-optimized LiCaAg structure. Source: Alexandria, functional PBE-GGA.

Computed properties:
Total magnetization in μB per cell: 0.0
Calculated formation energy in meV/atom: -182
Symmetry: P-6m2

POSCAR file:
```
LiCaAg
1.0
-3.6919 -2.3988 -1.1973
4.0250 -0.8762 -1.9621
0.8294 -2.7356 2.9230
Ca Li Ag
1 1 1
direct
0.6667 0.3333 0.3335
0.3333 0.6667 0.8334
0.0000 0.0000 0.8334
```

***

Record 9
A geometry-optimized Li14CaAg structure. Source: Alexandria, functional PBE-GGA.

Computed properties:
Total magnetization in μB per cell: 0.0
Calculated formation energy in meV/atom: -9
Symmetry: Amm2

POSCAR file:
```
Li14CaAg
1.0
6.2873 -0.5166 0.0000
-2.9394 5.5818 0.0000
0.0000 0.0000 9.9714
Li Ag Ca
14 1 1
direct
0.2228 0.2852 0.0000
0.3852 0.6148 0.7263
0.8673 0.1327 0.7757
0.3852 0.6148 0.2737
0.8673 0.1327 0.2243
0.0162 0.4767 0.5000
0.5233 0.9838 0.5000
0.8698 0.6110 0.7547
0.7100 0.2900 0.0000
0.3890 0.1302 0.7547
0.7148 0.7772 0.0000
0.3890 0.1302 0.2453
0.8698 0.6110 0.2453
0.2243 0.7757 0.0000
0.5485 0.4515 0.5000
0.0176 0.9824 0.5000
```

***

Record 10
A geometry-optimized Li9CaAg3 structure. Source: Alexandria, functional PBE-GGA.

Computed properties:
Total magnetization in μB per cell: 0.0
Calculated formation energy in meV/atom: -130
Symmetry: C2/m

POSCAR file:
```
Li9CaAg3
1.0
5.2123 0.1063 2.1157
2.6278 6.8359 1.0667
0.1124 0.0531 7.2013
Li Ag Ca
9 3 1
direct
0.0090 0.6547 0.3566
0.0000 0.5000 0.0000
0.2831 0.2182 0.2236
0.9910 0.3453 0.6434
0.6344 0.3453 0.3566
0.7169 0.7818 0.7764
0.4933 0.7818 0.2236
0.5067 0.2182 0.7764
0.3656 0.6547 0.6434
0.0000 0.0000 0.5000
0.5000 0.0000 0.5000
0.5000 0.5000 0.0000
0.0000 0.0000 0.0000
```

***

Record 11
A geometry-optimized Li5Ca2Ag12 structure. Source: Alexandria, functional PBE-GGA.

Computed properties:
Total magnetization in μB per cell: 0.0
Calculated formation energy in meV/atom: -199
Symmetry: R-3m

POSCAR file:
```
Li5Ca2Ag12
1.0
-5.3021 -2.0995 4.4017
4.0428 -1.8681 5.6623
-0.6621 6.0900 3.7907
Ag Li Ca
12 5 2
direct
0.3036 0.6964 0.0000
0.1428 0.6608 0.6608
0.3392 0.3392 0.8572
0.6964 0.3036 0.0000
0.8572 0.3392 0.3392
0.0000 0.3036 0.6964
0.3036 0.0000 0.6964
0.6964 0.0000 0.3036
0.6608 0.1428 0.6608
0.3392 0.8572 0.3392
0.6608 0.6608 0.1428
0.0000 0.6964 0.3036
0.0000 0.0000 0.5000
0.0000 0.5000 0.0000
0.5000 0.0000 0.0000
0.9085 0.9085 0.9085
0.0915 0.0915 0.0915
0.6483 0.6483 0.6483
0.3517 0.3517 0.3517
```

***

Record 12
A geometry-optimized LiCa2Ag structure. Source: Alexandria, functional PBE-GGA.

Computed properties:
Total magnetization in μB per cell: 0.0
Calculated formation energy in meV/atom: -108
Symmetry: R3m

POSCAR file:
```
LiCa2Ag
1.0
7.8680 0.0899 0.0550
6.6180 4.2563 0.0550
6.6180 1.9856 3.7652
Li Ca Ag
1 2 1
direct
0.4580 0.4580 0.4580
0.0292 0.0292 0.0292
0.2206 0.2206 0.2206
0.7922 0.7922 0.7922
```